No. 1
Here is a relaxed structure of LiPu2Cu from the Alexandria database. Energies are from GGA-PBE.

The structure belongs to space group P4/mmm (No. 123); the cell edges are 3.476, 3.476 and 5.103 Å and the angles 90.00°, 90.00° and 90.00°. The distinct sites, in fractional coordinates, are Li at (0.000, 0.000, 0.000), Pu at (0.000, 0.500, 0.500) and Cu at (0.500, 0.500, 0.000).

Its volume is 15.4 Å³ per atom. The calculation puts the total energy at -0.3025 hartree per atom. The value obtained for the energy of formation is 436 meV/atom.



No. 2
Here is a relaxed structure of LiPuCu from the Alexandria database. Energies are from GGA-PBE.

The structure belongs to space group Fmm2 (No. 42); the cell edges are 3.212, 3.766 and 14.507 Å and the angles 90.00°, 90.00° and 90.00°. The distinct sites, in fractional coordinates, are Li at (0.000, 0.000, 0.000), Pu at (0.000, 0.000, 0.310) and Cu at (0.000, 0.000, 0.637).

Its volume is 14.6 Å³ per atom. The calculation puts the total energy at -0.2386 hartree per atom. The value obtained for the distance to the lowest polymorph of the same formula is 0.00 kcal/mol of atoms. The value obtained for the energy of formation is 287 meV/atom.